Record 1
## Th4CoSn (PBE)

Data for Th4CoSn after structural relaxation.

Values from the calculation:
ΔH_f (0 K)	-0.244	eV/atom
spin magnetization	0.0	μB/f.u.
VASP energy	-7.042	eV per atom

Cell lengths 6.0312, 7.0482, 9.0754 Å; angles 112.85, 107.19, 90.00 degrees
Fractional positions:
Th1 0.6211 0.8765 0.2466
Th2 0.3789 0.1235 0.7534
Th3 0.3789 0.6299 0.7534
Th4 0.0000 0.2339 0.0000
Th5 0.1683 0.6921 0.3842
Th6 0.6211 0.3701 0.2466
Th7 0.0000 0.7661 0.0000
Th8 0.8317 0.3079 0.6158
Sn1 0.2075 0.1920 0.3839
Sn2 0.7925 0.8080 0.6161
Co1 0.6735 0.4732 0.9464
Co2 0.3265 0.5268 0.0536

Record 2
## TiV2AsBr (PBE)

Data for TiV2AsBr after structural relaxation.

Values from the calculation:
formation energy from raw total energies	0.950	eV/atom
spin magnetization	4.2	μB/f.u.
VASP energy	-5.540	eV per atom

Cell lengths 4.8797, 4.7004, 4.8797 Å; angles 90.00, 90.00, 90.00 degrees
Fractional positions:
V1 0.0000 0.0000 0.5000
V2 0.5000 0.0000 0.0000
Br1 0.5000 0.5000 0.5000
Ti1 0.0000 0.0000 0.0000
As1 0.0000 0.5000 0.0000

Record 3
## Cr2ReHg (PBE)

Data for Cr2ReHg after structural relaxation.

Values from the calculation:
ΔH_f (0 K)	1.024	eV/atom
spin magnetization	0.0	μB/f.u.
VASP energy	-6.975	eV per atom

Cell lengths 6.9837, 6.9837, 5.6333 Å; angles 51.69, 51.69, 90.00 degrees
Fractional positions:
Cr1 0.5799 0.1250 0.2500
Cr2 0.3750 0.4201 0.7500
Cr3 0.1701 0.6250 0.2500
Cr4 0.8750 0.8299 0.7500
Hg1 0.7500 0.2500 0.5000
Hg2 0.0000 0.0000 0.0000
Re1 0.5000 0.5000 0.0000
Re2 0.2500 0.7500 0.5000

Record 4
## Sc5C3 (PBE)

Data for Sc5C3 after structural relaxation.

Values from the calculation:
ΔH_f (0 K)	-0.255	eV/atom
spin magnetization	0.0	μB/f.u.
VASP energy	-7.671	eV per atom
excess energy over the best structure of this formula in the dataset	0.0336	eV/atom

Cell lengths 6.8318, 6.8318, 5.5753 Å; angles 90.00, 90.00, 120.00 degrees
Fractional positions:
Sc1 0.7515 0.0000 0.7500
Sc2 0.6667 0.3333 0.0000
Sc3 0.3333 0.6667 0.5000
Sc4 0.2485 0.2485 0.7500
Sc5 0.2485 0.0000 0.2500
Sc6 0.0000 0.2485 0.2500
Sc7 0.7515 0.7515 0.2500
Sc8 0.6667 0.3333 0.5000
Sc9 0.0000 0.7515 0.7500
Sc10 0.3333 0.6667 0.0000
C1 0.0000 0.3901 0.7500
C2 0.3901 0.0000 0.7500
C3 0.3901 0.3901 0.2500
C4 0.6099 0.6099 0.7500
C5 0.6099 0.0000 0.2500
C6 0.0000 0.6099 0.2500

Record 5
## TaBeP2Cl (PBE)

Data for TaBeP2Cl after structural relaxation.

Values from the calculation:
formation energy from raw total energies	0.554	eV/atom
spin magnetization	0.0	μB/f.u.
VASP energy	-5.095	eV per atom
excess energy over the best structure of this formula in the dataset	0.0000	eV/atom

Cell lengths 4.8511, 4.8511, 4.7863 Å; angles 90.00, 90.00, 90.00 degrees
Fractional positions:
P1 0.5000 0.0000 0.0000
P2 0.0000 0.5000 0.0000
Be1 0.5000 0.5000 0.5000
Cl1 0.0000 0.0000 0.5000
Ta1 0.0000 0.0000 0.0000

Record 6
## TaRuRh2 (PBE)

Data for TaRuRh2 after structural relaxation.

Values from the calculation:
ΔH_f (0 K)	-0.158	eV/atom
spin magnetization	0.0	μB/f.u.
VASP energy	-9.116	eV per atom
excess energy over the best structure of this formula in the dataset	0.3151	eV/atom

Cell lengths 3.2916, 3.2916, 5.6254 Å; angles 90.00, 90.00, 90.00 degrees
Fractional positions:
Rh1 0.5000 0.5000 0.2591
Rh2 0.0000 0.0000 0.9990
Ru1 0.0000 0.0000 0.4887
Ta1 0.5000 0.5000 0.7532

Record 7
## HgSb2I6 (PBE)

Data for HgSb2I6 after structural relaxation.

Values from the calculation:
formation energy from raw total energies	-0.287	eV/atom
spin magnetization	0.0	μB/f.u.
VASP energy	-2.270	eV per atom
excess energy over the best structure of this formula in the dataset	0.0000	eV/atom

Cell lengths 9.7063, 7.6576, 7.6578 Å; angles 119.97, 90.27, 90.27 degrees
Fractional positions:
Sb1 0.5000 0.3333 0.6667
Sb2 0.5000 0.6667 0.3333
Hg1 0.0000 0.0000 0.0000
I1 0.3151 0.9976 0.6439
I2 0.6849 0.0024 0.3561
I3 0.3151 0.6439 0.9976
I4 0.6844 0.6492 0.6492
I5 0.3156 0.3509 0.3508
I6 0.6849 0.3561 0.0024

Record 8
## ZnSb2Ru (PBE)

Data for ZnSb2Ru after structural relaxation.

Values from the calculation:
formation energy from raw total energies	0.086	eV/atom
spin magnetization	0.0	μB/f.u.
VASP energy	-4.613	eV per atom

Cell lengths 3.5012, 3.5012, 8.1097 Å; angles 78.07, 78.07, 59.57 degrees
Fractional positions:
Zn1 0.7500 0.7500 0.7500
Sb1 0.9907 0.9907 0.0219
Sb2 0.5093 0.5093 0.4781
Ru1 0.2500 0.2500 0.2500

Record 9
## LiMgAl3 (PBE)

Data for LiMgAl3 after structural relaxation.

Values from the calculation:
ΔH_f (0 K)	0.031	eV/atom
spin magnetization	0.0	μB/f.u.
VASP energy	-2.916	eV per atom
excess energy over the best structure of this formula in the dataset	0.0000	eV/atom

Cell lengths 2.9524, 4.5116, 14.1941 Å; angles 99.14, 90.00, 90.00 degrees
Fractional positions:
Al1 0.0000 0.9241 0.8483
Al2 0.0000 0.0759 0.1517
Al3 0.0000 0.2751 0.5502
Al4 0.5000 0.5461 0.0922
Al5 0.5000 0.4539 0.9078
Al6 0.0000 0.7249 0.4498
Li1 0.0000 0.3714 0.7428
Li2 0.0000 0.6286 0.2572
Mg1 0.5000 0.8247 0.6494
Mg2 0.5000 0.1753 0.3506

Record 10
## TaNb2Co3 (PBE)

Data for TaNb2Co3 after structural relaxation.

Values from the calculation:
ΔH_f (0 K)	-0.094	eV/atom
spin magnetization	0.0	μB/f.u.
VASP energy	-8.979	eV per atom

Cell lengths 4.0721, 5.1184, 8.7865 Å; angles 98.14, 103.40, 90.00 degrees
Fractional positions:
Nb1 0.9593 0.7280 0.9186
Nb2 0.8588 0.1692 0.7175
Nb3 0.0407 0.2720 0.0814
Nb4 0.1412 0.8308 0.2825
Ta1 0.3073 0.6688 0.6147
Ta2 0.6927 0.3312 0.3853
Co1 0.4278 0.4424 0.8556
Co2 0.7324 0.8327 0.4648
Co3 0.4296 0.9930 0.8592
Co4 0.5704 0.0070 0.1408
Co5 0.2676 0.1673 0.5352
Co6 0.5722 0.5576 0.1444

Record 11
## CsSrBr3 (PBE)

Data for CsSrBr3 after structural relaxation.

Values from the calculation:
formation energy from raw total energies	-1.805	eV/atom
spin magnetization	0.0	μB/f.u.
VASP energy	-3.316	eV per atom

Cell lengths 12.1623, 12.1623, 7.4015 Å; angles 90.00, 90.00, 139.13 degrees
Fractional positions:
Br1 0.0822 0.4429 0.7500
Br2 0.4429 0.0822 0.2500
Br3 0.5571 0.9178 0.7500
Br4 0.0000 0.0000 0.5000
Br5 0.0000 0.0000 0.0000
Br6 0.9178 0.5571 0.2500
Sr1 0.0983 0.9017 0.2500
Sr2 0.9017 0.0983 0.7500
Cs1 0.6952 0.3048 0.7500
Cs2 0.3048 0.6952 0.2500

Record 12
## LiYMnSe3 (PBE)

Data for LiYMnSe3 after structural relaxation.

Values from the calculation:
formation energy from raw total energies	-1.172	eV/atom
spin magnetization	5.0	μB/f.u.
VASP energy	-5.839	eV per atom

Cell lengths 3.9179, 7.8762, 8.7019 Å; angles 104.71, 90.00, 90.00 degrees
Fractional positions:
Mn1 0.2500 0.6692 0.1638
Mn2 0.7500 0.3308 0.8362
Se1 0.7500 0.4305 0.1530
Se2 0.2500 0.7594 0.4976
Se3 0.7500 0.9061 0.1253
Se4 0.2500 0.5695 0.8470
Se5 0.7500 0.2406 0.5024
Se6 0.2500 0.0939 0.8747
Y1 0.2500 0.1971 0.2367
Y2 0.7500 0.8029 0.7633
Li1 0.7500 0.9021 0.4061
Li2 0.2500 0.0979 0.5939